Compound: La2CrF
Source: Alexandria via LeMat-Bulk
Functional: PBE+U
Structure: relaxed

Calculated values
Magnetic moment (Bohr magnetons per cell): 16.41
Uncorrected energy (eV per atom): -5.3215
V (Å³/cell): 415.8
Offset from the most stable computed form (meV/atom): 399

a b c (Å): 7.4640 7.4640 7.4640
angles (deg): 90.00 90.00 90.00
Closest atoms and distances in Å follow each position.
Space group Fm-3m (No. 225)
Inequivalent atoms, fractional coordinates:
La 0.2500 0.2500 0.2500  4 F 3.23, 4 Cr 3.23
Cr 0.0000 0.0000 0.0000  8 La 3.23
F 0.0000 0.0000 0.5000  8 La 3.23